# GdTmCdCo (GGA-PBE, optimized geometry)
# **Size of the total moment**: 26.04 μB per cell
# **Energy of formation from the pure elements**: -0.144 eV per atom
data_GdTmCdCo
_chemical_formula_sum 'Gd4 Tm4 Cd4 Co4'
_cell_length_a 7.108
_cell_length_b 7.108
_cell_length_c 7.108
_cell_angle_alpha 90.00
_cell_angle_beta 90.00
_cell_angle_gamma 90.00
_symmetry_space_group_name_H-M 'F -4 3 m'
_symmetry_Int_Tables_number 216
_symmetry_space_group_name_Hall 'F -4 2 3'
loop_
_atom_site_label
_atom_site_fract_x
_atom_site_fract_y
_atom_site_fract_z
Gd1 0.000 0.000 0.000
Tm1 0.000 0.000 0.500
Cd1 0.250 0.250 0.750
Co1 0.250 0.250 0.250